1.
Ac2PdPt | Alexandria via LeMat-Bulk | GGA-PBE | relaxed; SG = Amm2; energy = -23.425 eV per cell; total moment = 0.0 Bohr magnetons per cell
1.0
-3.752 1.254 -1.250
-0.981 -4.363 -1.432
-0.278 -1.859 5.852
Ac Pd Pt
2 1 1
Direct
0.811 0.500 0.623
0.080 0.000 0.160
0.357 0.000 0.714
0.536 0.500 0.072

---

2.
ZrHg2Se | Alexandria via LeMat-Bulk | GGA-PBE | relaxed; SG = P4/mmm; energy = -12.924 eV per cell; total moment = 0.0 Bohr magnetons per cell
1.0
3.957 0.000 0.000
0.000 3.952 0.000
0.000 0.000 5.753
Hg Se Zr
2 1 1
Direct
0.000 0.000 0.999
0.000 0.000 0.501
0.500 0.500 0.250
0.500 0.500 0.750